LaMgSe2N | PBE | relaxed

The structure belongs to space group P4/mmm (No. 123); the cell edges are 5.834, 5.834 and 4.261 Å and the angles 90.00°, 90.00° and 90.00°. The inequivalent atoms are La at (0.000, 0.000, 0.000), Mg at (0.500, 0.500, 0.500), Se at (0.000, 0.500, 0.000) and N at (0.000, 0.000, 0.500).

The density of states at the Fermi level comes out at 5.15 states/eV per cell. For the distance to the lowest polymorph of the same formula, the calculation gives 563 meV/atom. Its uncorrected energy is -4.42 eV/atom. For the uncorrected formation energy, the calculation gives -0.05 eV per atom.